(1)
Computed, not measured: a relaxed structure of HPbN at the PBE-GGA level of DFT.

Computed properties:
The value obtained for the raw total energy is -4.7311 eV per atom. As for the energy above the most stable polymorph in this dataset: 249 meV per atom. The total moment comes out at 0.000 μB per formula unit.

Unit cell a=3.8665 b=3.8665 c=4.0509 alpha=118.51 beta=118.51 gamma=90.00
With the nearest neighbours (Å) after each atom.
Fractional positions:
1 Pb 0.9612 0.9612 0.9224  1 N 2.37, 1 H 2.57
2 H 0.5312 0.5312 0.0625  1 N 1.04
3 N 0.3576 0.3576 0.7151  1 H 1.04

---

(2)
Computed, not measured: a relaxed structure of HPb2N at the PBE-GGA level of DFT.

Computed properties:
The value obtained for the raw total energy is -3.9239 eV per atom. As for the energy above the most stable polymorph in this dataset: 266 meV per atom. The total moment comes out at 0.000 μB per formula unit.

Unit cell a=4.5886 b=4.5886 c=4.5886 alpha=60.00 beta=60.00 gamma=60.00
With the nearest neighbours (Å) after each atom.
Fractional positions:
1 Pb 0.2500 0.2500 0.2500  4 N 2.81, 4 H 2.81
2 Pb 0.7500 0.7500 0.7500  4 N 2.81, 4 H 2.81
3 H 0.0000 0.0000 0.0000  8 Pb 2.81
4 N 0.5000 0.5000 0.5000  8 Pb 2.81